A relaxed structure of Er6Al2Hg. Source: Alexandria, functional PBE.

The structure in POSCAR format:
```
Er6Al2Hg
1.0
4.9917 0.0000 -0.1939
0.0000 7.1190 0.0000
-2.2081 -3.5595 7.6230
Er Al Hg
6 2 1
Direct
0.1672 0.4170 0.3348 Er
0.8328 0.0823 0.6652 Er
0.5000 0.2512 0.0000 Er
0.8328 0.5830 0.6652 Er
0.1672 0.9177 0.3348 Er
0.5000 0.7488 0.0000 Er
0.6664 0.6666 0.3331 Al
0.3336 0.3334 0.6669 Al
0.0000 0.0000 0.0000 Hg
```

## Properties
size of the total moment	0.00	μB per atom
space-group type	Immm (71)
energy relative to the elements	-49	kJ/mol of formula units